Entry w
## Zn2CdSiAu (GGA-PBE)

Data for Zn2CdSiAu after structural relaxation.

```
Zn2CdSiAu
1.0
4.916 0.000 0.000
0.000 5.056 0.000
0.000 0.000 4.916
Au Zn Si Cd
1 2 1 1
Cartesian
2.458 2.528 2.458
2.458 0.000 0.000
0.000 0.000 2.458
0.000 2.528 0.000
0.000 0.000 0.000
```

Computed properties:
M_tot = 0.00 μB per atom


Entry x
## Zn2CdSiAu (GGA-PBE)

Data for Zn2CdSiAu after structural relaxation.

```
Zn2CdSiAu
1.0
-2.480 -4.211 -0.250
3.093 -1.594 -3.842
3.044 -1.988 3.275
Zn Si Au Cd
2 1 1 1
Cartesian
1.522 -0.994 1.638
-1.240 -2.105 -0.125
1.829 -3.896 -0.409
1.547 -0.797 -1.921
0.000 0.000 0.000
```

Computed properties:
M_tot = 0.00 μB per atom


Here are the energies relative to the best structure, in kJ/mol of atoms: entry w 0.0; entry x 5.6.


Entry w
## SmCd3Au (GGA-PBE)

Data for SmCd3Au after structural relaxation.

```
SmCd3Au
1.0
4.377 0.000 0.000
0.000 9.260 0.000
0.000 0.000 11.912
Au Sm Cd
4 4 12
Cartesian
1.094 1.272 7.490
1.094 5.902 10.379
3.282 7.988 4.423
3.282 3.358 1.534
1.094 6.379 5.889
3.282 2.881 6.023
3.282 7.511 11.845
1.094 1.749 0.067
1.094 3.296 3.580
3.282 0.743 2.409
3.282 5.373 3.547
3.282 1.334 9.536
1.094 8.517 9.503
3.282 5.964 8.332
1.094 3.887 8.365
1.094 5.236 1.202
3.282 8.654 7.158
3.282 4.024 10.711
1.094 0.606 4.755
1.094 7.926 2.376
```

Computed properties:
M_tot = 0.00 μB per atom


Entry x
## SmCd3Au (GGA-PBE)

Data for SmCd3Au after structural relaxation.

```
SmCd3Au
1.0
5.186 0.000 -1.978
0.000 5.963 0.000
0.115 0.000 7.602
Cd Au Sm
6 2 2
Cartesian
3.736 1.131 2.226
3.736 4.208 2.226
4.532 2.669 -0.215
1.692 4.113 -0.010
0.896 5.651 2.430
1.692 1.226 -0.010
4.524 2.669 4.583
1.019 5.651 5.235
4.003 5.651 5.420
1.541 2.669 4.399
```

Computed properties:
M_tot = 0.00 μB per atom


Here are the energies relative to the best structure, in kJ/mol of atoms: entry w 3.9; entry x 0.0.